A plane-wave DFT calculation with PBE was carried out for an optimized crystal structure of CaYTc2O8.

Calculated values
Raw formation energy ... -2.02 eV per atom
Spin magnetization ... 3.0 Bohr magnetons per cell
VASP energy ... -7.7553 eV per atom
D(E_F) ... 8.49 states/eV/f.u.

The structure in POSCAR format:
```
CaYTc2O8
1.0
5.910 0.000 0.000
-2.955 5.118 0.000
0.000 0.000 6.775
O Y Tc Ca
8 1 2 1
Direct
0.162 0.323 0.728 O
0.333 0.667 0.067 O
0.667 0.333 0.933 O
0.838 0.162 0.272 O
0.162 0.838 0.728 O
0.323 0.162 0.272 O
0.677 0.838 0.728 O
0.838 0.677 0.272 O
0.000 0.000 0.500 Y
0.667 0.333 0.192 Tc
0.333 0.667 0.808 Tc
0.000 0.000 0.000 Ca
```